Entry 1:
An optimized crystal structure of La4InCoHg. Source: Alexandria via LeMat-Bulk, functional GGA-PBE.

The value obtained for the energy relative to the elements is -1.90 eV per formula unit. The final energy is -4.54 eV/atom.

a b c (Å): 7.357 16.526 7.339
angles (deg): 90.00 90.00 90.00
Space group Cmcm (No. 63)
Asymmetric unit:
La: 0.000 0.071 0.250
La: 0.000 0.425 0.250
La: 0.250 0.250 0.000
In: 0.000 0.384 0.750
Co: 0.000 0.247 0.250
Hg: 0.000 0.118 0.750

=====

Entry 2:
An optimized crystal structure of PmDySiNi. Source: Alexandria via LeMat-Bulk, functional GGA-PBE.

The calculation puts the offset from the most stable computed form at 176 meV per atom. The value obtained for the uncorrected formation energy is -0.418 eV per atom. The final energy is -5.56 eV/atom.

a b c (Å): 7.018 7.018 7.018
angles (deg): 90.00 90.00 90.00
Space group F-43m (No. 216)
Asymmetric unit:
Pm: 0.000 0.000 0.000
Dy: 0.000 0.000 0.500
Si: 0.250 0.250 0.750
Ni: 0.250 0.250 0.250